# 1
Here is an optimized crystal structure of ZrTe2NO from Alexandria via LeMat-Bulk. Energies are from PBE.

Cell: 5.726 5.726 4.009 Å, 90.00 90.00 90.00°
Site moments in Bohr magnetons follow the coordinates.
Positions (direct):
Te  0.500  0.000  0.000  0.09
O  0.500  0.500  0.500  1.22
Zr  0.000  0.000  0.000  0.04
N  0.000  0.000  0.500  -0.09
Te  0.000  0.500  0.000  0.09

Results
**Raw formation energy**: 0.595 eV per atom
**Energy above the lowest structure with this stoichiometry**: 1.8 kJ/mol of atoms
**Total magnetization**: 1.717 μB/f.u.
**Symmetry**: P4/mmm (123)

# 2
Here is an optimized crystal structure of Th2NO from Alexandria via LeMat-Bulk. Energies are from PBE.

Cell: 3.711 3.711 7.532 Å, 75.74 75.74 60.00°
Positions (direct):
O  0.000  0.000  0.000
Th  0.901  0.901  0.298
Th  0.099  0.099  0.702
N  0.500  0.500  0.500

Results
**Raw formation energy**: -1.712 eV per atom
**Total magnetization**: 0.000 μB/f.u.
**Symmetry**: R-3m (166)

Number 1: volume 131.4 Å³ per cell. Number 2: volume 86.1 Å³ per cell.